Material: LiAcZnHg
Method: DFT, PBE-GGA
State: optimized geometry

a = 8.1332 Å, b = 4.6875 Å, c = 6.0212 Å
α = 90.00°, β = 116.87°, γ = 90.00°
Space group Cm (No. 8)
Unique sites:
1 Li 0.0000 0.0000 0.0000
2 Ac 0.4969 0.0000 0.4916
3 Zn 0.2032 0.5000 0.1107
4 Hg 0.2913 0.0000 0.8735

For the formation energy from the elements, the calculation gives -0.31 eV per atom. For the total magnetization, the calculation gives 0.00 μB per cell. The raw total energy is -2.2075 eV/atom. The value obtained for the offset from the most stable computed form is 0.0 meV per atom.